No. 1
Material: CoPd3Se6
Method: DFT, GGA-PBE
State: optimized geometry

Output
Magnetization (μB/f.u.): 0.0
Total energy (eV/cell): -274.61
Distance to the lowest polymorph of the same formula (eV/atom): 0.049

```
data_CoPd3Se6
_cell_length_a 10.5683
_cell_length_b 10.5683
_cell_length_c 12.8104
_cell_angle_alpha 90.00
_cell_angle_beta 90.00
_cell_angle_gamma 120.00
_space_group_name_H-M_alt 'R -3'
_space_group_IT_number 148
_space_group_name_Hall '-R 3'
loop_
_atom_site_label
_atom_site_fract_x
_atom_site_fract_y
_atom_site_fract_z
_atom_site_occupancy
Co1 0.0000 0.0000 0.0000 1
Co2 0.0000 0.0000 0.5000 1
Pd1 0.0459 0.7879 0.2069 1
Se1 0.0297 0.8226 0.4045 1
Se2 0.0310 0.8422 0.8803 1
```


No. 2
Material: Ac3La4Pm5
Method: DFT, GGA-PBE
State: optimized geometry

Output
Magnetization (μB/f.u.): 0.0
Total energy (eV/cell): -55.42
Energy of formation from the pure elements (eV/f.u.): 0.367

```
data_Ac3La4Pm5
_cell_length_a 6.542
_cell_length_b 7.559
_cell_length_c 9.187
_cell_angle_alpha 90.44
_cell_angle_beta 90.00
_cell_angle_gamma 90.10
_space_group_name_H-M_alt 'P -1'
_space_group_IT_number 2
_space_group_name_Hall '-P 1'
loop_
_atom_site_label
_atom_site_fract_x
_atom_site_fract_y
_atom_site_fract_z
_atom_site_occupancy
Ac1 0.000 0.000 0.000 1
Ac2 0.499 0.747 0.000 1
La1 0.166 0.251 0.662 1
La2 0.329 0.500 0.339 1
Pm1 0.000 0.500 0.000 1
Pm2 0.168 0.750 0.664 1
Pm3 0.335 0.000 0.339 1
```


No. 3
Material: Ca3RuAu
Method: DFT, GGA-PBE
State: optimized geometry

Output
Magnetization (μB/f.u.): 0.0
Total energy (eV/cell): -18.13
Energy of formation from the pure elements (eV/f.u.): 0.424
Distance to the lowest polymorph of the same formula (eV/atom): 0.000

```
data_Ca3RuAu
_cell_length_a 5.306
_cell_length_b 5.306
_cell_length_c 5.306
_cell_angle_alpha 90.00
_cell_angle_beta 90.00
_cell_angle_gamma 90.00
_space_group_name_H-M_alt 'P m -3 m'
_space_group_IT_number 221
_space_group_name_Hall '-P 4 2 3'
loop_
_atom_site_label
_atom_site_fract_x
_atom_site_fract_y
_atom_site_fract_z
_atom_site_occupancy
Ca1 0.000 0.000 0.500 1
Ru1 0.000 0.000 0.000 1
Au1 0.500 0.500 0.500 1
```


No. 4
Material: Tb12Tm7Th
Method: DFT, GGA-PBE
State: optimized geometry

Output
Magnetization (μB/f.u.): 0.0
Total energy (eV/cell): -158.35
Energy of formation from the pure elements (eV/f.u.): 15.106

```
data_Tb12Tm7Th
_cell_length_a 11.283
_cell_length_b 11.283
_cell_length_c 11.283
_cell_angle_alpha 90.00
_cell_angle_beta 90.00
_cell_angle_gamma 90.00
_space_group_name_H-M_alt 'I m -3 m'
_space_group_IT_number 229
_space_group_name_Hall '-I 4 2 3'
loop_
_atom_site_label
_atom_site_fract_x
_atom_site_fract_y
_atom_site_fract_z
_atom_site_occupancy
Tb1 0.000 0.246 0.246 1
Tm1 0.000 0.000 0.500 1
Tm2 0.250 0.250 0.250 1
Th1 0.000 0.000 0.000 1
```


No. 5
Material: RbPrAs2O6
Method: DFT, GGA-PBE
State: optimized geometry

Output
Magnetization (μB/f.u.): 2.0
Total energy (eV/cell): -186.63

```
data_RbPrAs2O6
_cell_length_a 5.9883
_cell_length_b 5.9883
_cell_length_c 18.8451
_cell_angle_alpha 90.00
_cell_angle_beta 90.00
_cell_angle_gamma 120.00
_space_group_name_H-M_alt 'R -3'
_space_group_IT_number 148
_space_group_name_Hall '-R 3'
loop_
_atom_site_label
_atom_site_fract_x
_atom_site_fract_y
_atom_site_fract_z
_atom_site_occupancy
Rb1 0.0000 0.0000 0.0000 1
Pr1 0.0000 0.0000 0.5000 1
As1 0.0000 0.0000 0.2669 1
O1 0.0327 0.6075 0.9056 1
```


No. 6
Material: DyY2Br5
Method: DFT, GGA-PBE
State: optimized geometry

Output
Magnetization (μB/f.u.): 0.3
Total energy (eV/cell): -36.13

```
data_DyY2Br5
_cell_length_a 6.858
_cell_length_b 6.860
_cell_length_c 7.253
_cell_angle_alpha 70.43
_cell_angle_beta 70.10
_cell_angle_gamma 68.78
_space_group_name_H-M_alt 'P 1'
_space_group_IT_number 1
_space_group_name_Hall 'P 1'
loop_
_atom_site_label
_atom_site_fract_x
_atom_site_fract_y
_atom_site_fract_z
_atom_site_occupancy
Dy1 0.000 0.000 0.000 1
Y1 0.056 0.511 0.763 1
Y2 0.512 0.054 0.763 1
Br1 0.224 0.227 0.104 1
Br2 0.316 0.777 0.719 1
Br3 0.724 0.725 0.064 1
Br4 0.778 0.315 0.720 1
Br5 0.875 0.871 0.444 1
```


No. 7
Material: SrIn2Ru2
Method: DFT, GGA-PBE
State: optimized geometry

Output
Magnetization (μB/f.u.): 0.4
Total energy (eV/cell): -50.63
Energy of formation from the pure elements (eV/f.u.): 0.397

```
data_SrIn2Ru2
_cell_length_a 7.987
_cell_length_b 7.987
_cell_length_c 3.179
_cell_angle_alpha 90.00
_cell_angle_beta 90.00
_cell_angle_gamma 90.00
_space_group_name_H-M_alt 'P 4/m b m'
_space_group_IT_number 127
_space_group_name_Hall '-P 4 2ab'
loop_
_atom_site_label
_atom_site_fract_x
_atom_site_fract_y
_atom_site_fract_z
_atom_site_occupancy
Sr1 0.000 0.000 0.000 1
In1 0.151 0.349 0.500 1
Ru1 0.141 0.641 0.000 1
```


No. 8
Material: RbAgTe2
Method: DFT, GGA-PBE
State: optimized geometry

Output
Magnetization (μB/f.u.): 0.0
Total energy (eV/cell): -23.59

```
data_RbAgTe2
_cell_length_a 6.330
_cell_length_b 9.273
_cell_length_c 5.471
_cell_angle_alpha 90.00
_cell_angle_beta 90.00
_cell_angle_gamma 90.00
_space_group_name_H-M_alt 'C m m m'
_space_group_IT_number 65
_space_group_name_Hall '-C 2 2'
loop_
_atom_site_label
_atom_site_fract_x
_atom_site_fract_y
_atom_site_fract_z
_atom_site_occupancy
Rb1 0.000 0.000 0.000 1
Ag1 0.000 0.500 0.500 1
Te1 0.250 0.250 0.500 1
```


For the records above, the corresponding N(E_F) values read 7.312; 21.010; 3.321; 25.591; 0.362; 4.978; 4.270; 0.467 states/eV/f.u..